Entry from Alexandria: Ho2Er3Tm5 after structural relaxation (PBE-GGA).

Structure (POSCAR):
```
Ho2Er3Tm5
1.0
5.265 -7.701 0.000
5.265 7.701 0.000
-5.265 0.000 7.728
Ho Er Tm
4 6 10
direct
0.026 0.273 0.048
0.273 0.026 0.548
0.727 0.974 0.452
0.974 0.727 0.952
0.227 0.475 0.451
0.272 0.728 0.250
0.475 0.227 0.951
0.525 0.773 0.049
0.728 0.272 0.750
0.773 0.525 0.549
0.024 0.976 0.750
0.128 0.372 0.748
0.227 0.773 0.750
0.372 0.128 0.248
0.476 0.524 0.250
0.524 0.476 0.750
0.628 0.872 0.752
0.773 0.227 0.250
0.872 0.628 0.252
0.976 0.024 0.250
```

Results
The density of states at the Fermi level comes out at 33.93 states/eV/cell. Its crystal system is monoclinic. Its energy of formation is 0.205 eV per atom. The value obtained for the energy above the most stable polymorph in this dataset is 0.000 eV/atom.